(1)
{
  "formula": "ZrTi3Ir",
  "functional": "PBE",
  "state": "optimized geometry",
  "lattice": [[-0.463, -3.625, 2.821], [3.819, -1.879, -1.788], [2.552, 2.155, 3.187]],
  "species": ["Ti", "Ti", "Ti", "Zr", "Ir"],
  "fractional_positions": [[0.500, 0.000, 0.000], [0.000, 0.500, 0.000], [0.000, 0.000, 0.500], [0.000, 0.000, 0.000], [0.500, 0.500, 0.500]],
  "de_polymorph_mev_per_atom": 1066.5,
  "formation_enthalpy_0k_ev_per_atom": 1.303
}

(2)
{
  "formula": "Rb7SbAu2Br2",
  "functional": "PBE",
  "state": "optimized geometry",
  "lattice": [[-0.266, 6.148, -1.622], [-2.014, -1.718, -6.181], [-12.528, -1.672, 8.204]],
  "species": ["Br", "Br", "Rb", "Rb", "Rb", "Rb", "Rb", "Rb", "Rb", "Sb", "Au", "Au"],
  "fractional_positions": [[0.717, 0.213, 0.435], [0.283, 0.778, 0.565], [0.262, 0.258, 0.524], [0.592, 0.084, 0.185], [0.500, 0.387, 0.000], [0.924, 0.476, 0.848], [0.738, 0.734, 0.476], [0.076, 0.627, 0.152], [0.408, 0.899, 0.815], [0.000, 0.054, 0.000], [0.617, 0.612, 0.235], [0.383, 0.378, 0.765]],
  "e_form_raw_ev_per_fu": -8.8
}

(3)
{
  "formula": "CaPu2Cl6",
  "functional": "PBE",
  "state": "optimized geometry",
  "lattice": [[-2.507, 2.997, -5.377], [3.538, -4.049, -3.907], [-9.588, -8.253, -0.129]],
  "species": ["Cl", "Cl", "Cl", "Cl", "Cl", "Cl", "Cl", "Cl", "Cl", "Cl", "Cl", "Cl", "Pu", "Pu", "Pu", "Pu", "Ca", "Ca"],
  "fractional_positions": [[0.804, 0.196, 0.663], [0.294, 0.294, 0.500], [0.706, 0.706, 0.500], [0.696, 0.696, 0.837], [0.794, 0.206, 0.000], [0.804, 0.196, 0.337], [0.196, 0.804, 0.337], [0.206, 0.794, 0.000], [0.196, 0.804, 0.663], [0.304, 0.304, 0.837], [0.696, 0.696, 0.163], [0.304, 0.304, 0.163], [0.000, 0.000, 0.164], [0.500, 0.500, 0.336], [0.500, 0.500, 0.664], [0.000, 0.000, 0.836], [0.500, 0.500, 0.000], [0.000, 0.000, 0.500]],
  "de_polymorph_mev_per_atom": 20.9,
  "e_form_raw_ev_per_fu": -17.3
}

Asked for total magnetization across the records above, the calculation gives 0.159, 0.000, 1.333 μB per atom in order.
Asked for uncorrected energy across the records above, the calculation gives -6.92, -2.47, -6.57 eV/atom in order.